Compound: CsPmCuF6
Source: Alexandria via LeMat-Bulk
Functional: PBE
Structure: optimized geometry

Cell lengths 7.675, 7.967, 10.287 Å; angles 90.00, 90.00, 90.00 degrees
Space group Imma (No. 74)
Unique sites:
Cs  0.000  0.250  0.164
Pm  0.250  0.250  0.750
Cu  0.000  0.000  0.500
F  0.000  0.250  0.612
F  0.000  0.250  0.875
F  0.186  0.008  0.369

Output
Magnetic moment: 1.00 μB per formula unit
Electronic total energy: -189.29 eV for the cell shown
Formation energy from raw total energies: -2.93 eV/atom